Compound: Cd2InGaHg6
Source: the Alexandria database
Functional: PBE-GGA
Structure: relaxed

uncorrected energy = -0.0663 Ry per atom
formation enthalpy at 0 K = 0.0387 eV/atom
SG = No. 1

a = 6.097 Å, b = 6.279 Å, c = 7.402 Å
α = 73.06°, β = 72.68°, γ = 86.21°
Element x y z (fractional)
1 Cd 0.000 0.000 0.000
2 Cd 0.094 0.924 0.400
3 In 0.247 0.328 0.590
4 Ga 0.385 0.256 0.999
5 Hg 0.041 0.508 0.234
6 Hg 0.307 0.730 0.746
7 Hg 0.550 0.711 0.197
8 Hg 0.633 0.166 0.295
9 Hg 0.712 0.078 0.708
10 Hg 0.793 0.556 0.787

=====

Compound: Ac8SmSn2
Source: the Alexandria database
Functional: PBE-GGA
Structure: relaxed

uncorrected energy = -0.3063 Ry per atom
formation enthalpy at 0 K = -0.0221 eV/atom
SG = No. 12

a = 9.441 Å, b = 9.441 Å, c = 6.795 Å
α = 110.18°, β = 110.18°, γ = 60.18°
Element x y z (fractional)
1 Ac 0.090 0.693 0.089
2 Ac 0.108 0.108 0.419
3 Ac 0.307 0.910 0.911
4 Ac 0.362 0.362 0.453
5 Ac 0.638 0.638 0.547
6 Ac 0.693 0.090 0.089
7 Ac 0.892 0.892 0.581
8 Ac 0.910 0.307 0.911
9 Sm 0.500 0.500 0.000
10 Sn 0.284 0.284 0.882
11 Sn 0.716 0.716 0.118

=====

Compound: La3Pr5Sm2
Source: the Alexandria database
Functional: PBE-GGA
Structure: relaxed

uncorrected energy = -0.3423 Ry per atom
formation enthalpy at 0 K = 0.1544 eV/atom
SG = No. 15

a = 9.312 Å, b = 9.312 Å, c = 10.307 Å
α = 109.05°, β = 109.05°, γ = 105.81°
Element x y z (fractional)
1 La 0.027 0.278 0.059
2 La 0.227 0.773 0.750
3 La 0.278 0.027 0.559
4 La 0.722 0.973 0.441
5 La 0.773 0.227 0.250
6 La 0.973 0.722 0.941
7 Pr 0.016 0.984 0.750
8 Pr 0.135 0.382 0.762
9 Pr 0.268 0.732 0.250
10 Pr 0.382 0.135 0.262
11 Pr 0.477 0.523 0.250
12 Pr 0.523 0.477 0.750
13 Pr 0.618 0.865 0.738
14 Pr 0.732 0.268 0.750
15 Pr 0.865 0.618 0.238
16 Pr 0.984 0.016 0.250
17 Sm 0.221 0.469 0.446
18 Sm 0.469 0.221 0.946
19 Sm 0.531 0.779 0.054
20 Sm 0.779 0.531 0.554